First-principles (meta-GGA SCAN) data for a PBEsol-optimized structure of RbGaSe2, as listed in Alexandria via LeMat-Bulk.

Properties
Volume ... 29.12 A^3/atom
Uncorrected formation energy ... -0.52 eV per atom
Space group ... R-3m, No. 166
Calculated total energy ... -79.31 eV/f.u.

```
RbGaSe2
1.0
-2.422 0.964 -2.833
1.150 -0.202 -3.668
-3.329 -8.332 -2.606
Ga Se Rb
1 2 1
direct
0.500 0.500 0.500
0.885 0.885 0.346
0.115 0.115 0.654
0.000 0.000 0.000
```

First-principles (meta-GGA SCAN) data for a PBEsol-optimized structure of RbGaSe2, as listed in Alexandria via LeMat-Bulk.

Properties
Volume ... 29.53 A^3/atom
Uncorrected formation energy ... -1.05 eV per atom
Space group ... I-42d, No. 122
Calculated total energy ... -81.43 eV/f.u.

```
RbGaSe2
1.0
-2.320 0.576 -6.340
3.410 -5.748 1.114
-4.915 -0.391 4.647
Ga Se Rb
2 4 2
direct
0.500 0.250 0.750
0.000 0.500 0.500
0.901 0.526 0.125
0.099 0.224 0.625
0.401 0.875 0.776
0.599 0.375 0.474
0.500 0.750 0.250
0.000 0.000 0.000
```

First-principles (meta-GGA SCAN) data for a PBEsol-optimized structure of RbGa3Se, as listed in Alexandria via LeMat-Bulk.

Properties
Volume ... 37.53 A^3/atom
Uncorrected formation energy ... 1.25 eV per atom
Space group ... Pm-3m, No. 221
Calculated total energy ... -83.63 eV/f.u.

```
RbGa3Se
1.0
-4.369 0.856 -3.599
-3.551 -2.536 3.707
-1.040 5.061 2.466
Ga Se Rb
3 1 1
direct
0.000 0.500 0.000
0.000 0.000 0.500
0.500 0.000 0.000
0.500 0.500 0.500
0.000 0.000 0.000
```

First-principles (meta-GGA SCAN) data for a PBEsol-optimized structure of Rb3GaSe, as listed in Alexandria via LeMat-Bulk.

Properties
Volume ... 48.50 A^3/atom
Uncorrected formation energy ... 0.02 eV per atom
Space group ... Pm-3m, No. 221
Calculated total energy ... -98.56 eV/f.u.

```
Rb3GaSe
1.0
6.236 0.000 0.000
0.000 6.236 0.000
0.000 0.000 6.236
Ga Se Rb
1 1 3
direct
0.000 0.000 0.000
0.500 0.500 0.500
0.000 0.500 0.000
0.000 0.000 0.500
0.500 0.000 0.000
```

First-principles (meta-GGA SCAN) data for a PBEsol-optimized structure of RbGaSe2, as listed in Alexandria via LeMat-Bulk.

Properties
Volume ... 47.18 A^3/atom
Uncorrected formation energy ... -0.71 eV per atom
Space group ... R-3m, No. 166
Calculated total energy ... -80.10 eV/f.u.

```
RbGaSe2
1.0
5.556 0.000 0.000
2.778 4.812 0.000
2.778 1.604 7.058
Ga Se Rb
1 2 1
direct
0.000 0.000 0.000
0.897 0.897 0.309
0.103 0.103 0.691
0.500 0.500 0.500
```

First-principles (meta-GGA SCAN) data for a PBEsol-optimized structure of RbGaSi3, as listed in Alexandria via LeMat-Bulk.

Properties
Volume ... 31.87 A^3/atom
Uncorrected formation energy ... 2.41 eV per atom
Space group ... Pm-3m, No. 221
Calculated total energy ... -55.07 eV/f.u.

```
RbGaSi3
1.0
-2.090 1.200 4.856
2.365 -4.401 2.105
4.408 2.930 1.174
Si Ga Rb
3 1 1
direct
0.000 0.500 0.000
0.000 0.000 0.500
0.500 0.000 0.000
0.500 0.500 0.500
0.000 0.000 0.000
```

First-principles (meta-GGA SCAN) data for a PBEsol-optimized structure of RbTlGa2Si, as listed in Alexandria via LeMat-Bulk.

Properties
Volume ... 32.67 A^3/atom
Uncorrected formation energy ... 0.64 eV per atom
Space group ... P4/mmm, No. 123
Calculated total energy ... -132.60 eV/f.u.

```
RbTlGa2Si
1.0
5.339 0.000 0.000
0.000 5.532 0.000
0.000 0.000 5.532
Tl Si Ga Rb
1 1 2 1
direct
0.000 0.000 0.000
0.500 0.000 0.000
0.000 0.000 0.500
0.000 0.500 0.000
0.500 0.500 0.500
```

First-principles (meta-GGA SCAN) data for a PBEsol-optimized structure of RbGaSn3, as listed in Alexandria via LeMat-Bulk.

Properties
Volume ... 41.30 A^3/atom
Space group ... Pm-3m, No. 221
Formation energy ... 7.143 eV per formula unit
Calculated total energy ... -137.71 eV/f.u.

```
RbGaSn3
1.0
-4.158 -3.562 2.226
3.962 -2.284 3.745
-1.397 4.127 3.994
Ga Sn Rb
1 3 1
direct
0.500 0.500 0.500
0.000 0.500 0.000
0.000 0.000 0.500
0.500 0.000 0.000
0.000 0.000 0.000
```

First-principles (meta-GGA SCAN) data for a PBEsol-optimized structure of RbSr3Ga, as listed in Alexandria via LeMat-Bulk.

Properties
Volume ... 50.64 A^3/atom
Space group ... Pm-3m, No. 221
Formation energy ... -0.380 eV per formula unit
Calculated total energy ... -104.29 eV/f.u.

```
RbSr3Ga
1.0
6.327 0.000 0.000
0.000 6.327 0.000
0.000 0.000 6.327
Sr Ga Rb
3 1 1
direct
0.000 0.500 0.000
0.000 0.000 0.500
0.500 0.000 0.000
0.000 0.000 0.000
0.500 0.500 0.500
```

First-principles (meta-GGA SCAN) data for a PBEsol-optimized structure of Rb2ZrGaTe, as listed in Alexandria via LeMat-Bulk.

Properties
Volume ... 50.09 A^3/atom
Uncorrected formation energy ... 0.51 eV per atom
Space group ... P4/mmm, No. 123
Calculated total energy ... -123.23 eV/f.u.

```
Rb2ZrGaTe
1.0
-2.437 4.264 2.275
-5.349 -0.863 -4.113
-2.877 -4.100 4.603
Ga Te Rb Zr
1 1 2 1
direct
0.500 0.500 0.500
0.500 0.000 0.000
0.000 0.000 0.500
0.000 0.500 0.000
0.000 0.000 0.000
```

First-principles (meta-GGA SCAN) data for a PBEsol-optimized structure of RbY3Ga, as listed in Alexandria via LeMat-Bulk.

Properties
Volume ... 30.03 A^3/atom
Space group ... Pm-3m, No. 221
Formation energy ... 6.664 eV per formula unit
Calculated total energy ... -113.95 eV/f.u.

```
RbY3Ga
1.0
-0.066 -1.293 -5.155
-1.381 -4.974 1.266
-5.132 1.355 -0.274
Y Ga Rb
3 1 1
direct
0.000 0.500 0.000
0.000 0.000 0.500
0.500 0.000 0.000
0.500 0.500 0.500
0.000 0.000 0.000
```

First-principles (meta-GGA SCAN) data for a PBEsol-optimized structure of Ga3Re, as listed in Alexandria via LeMat-Bulk.

Properties
Volume ... 18.18 A^3/atom
Space group ... P4_2/mnm, No. 136
Formation energy ... -0.524 eV per formula unit
Calculated total energy ... -120.66 eV/f.u.

```
Ga3Re
1.0
-2.329 -0.986 5.935
2.604 -5.902 0.041
5.875 2.610 2.739
Ga Re
12 4
direct
0.000 0.500 0.500
0.500 0.000 0.000
0.500 0.000 0.500
0.000 0.500 0.000
0.333 0.667 0.244
0.667 0.333 0.244
0.167 0.167 0.744
0.833 0.833 0.744
0.667 0.333 0.756
0.333 0.667 0.756
0.833 0.833 0.256
0.167 0.167 0.256
0.143 0.857 0.500
0.857 0.143 0.500
0.357 0.357 0.000
0.643 0.643 0.000
```

First-principles (meta-GGA SCAN) data for a PBEsol-optimized structure of GaRe3Rh, as listed in Alexandria via LeMat-Bulk.

Properties
Volume ... 19.56 A^3/atom
Space group ... Pm-3m, No. 221
Formation energy ... 11.825 eV per formula unit
Calculated total energy ... -251.59 eV/f.u.

```
GaRe3Rh
1.0
-1.607 0.279 -4.309
-2.261 -3.971 0.586
-3.679 2.319 1.522
Re Rh Ga
3 1 1
direct
0.000 0.500 0.000
0.000 0.000 0.500
0.500 0.000 0.000
0.000 0.000 0.000
0.500 0.500 0.500
```

First-principles (meta-GGA SCAN) data for a PBEsol-optimized structure of ScGaRe2Rh, as listed in Alexandria via LeMat-Bulk.

Properties
Volume ... 19.73 A^3/atom
Space group ... P4/mmm, No. 123
Formation energy ... 5.377 eV per formula unit
Calculated total energy ... -201.17 eV/f.u.

```
ScGaRe2Rh
1.0
-3.559 -1.645 2.161
2.678 -0.854 3.760
-0.969 4.281 1.663
Sc Re Rh Ga
1 2 1 1
direct
0.500 0.500 0.500
0.000 0.000 0.500
0.000 0.500 0.000
0.000 0.000 0.000
0.500 0.000 0.000
```

First-principles (meta-GGA SCAN) data for a PBEsol-optimized structure of GaReTeRh2, as listed in Alexandria via LeMat-Bulk.

Properties
Volume ... 18.42 A^3/atom
Uncorrected formation energy ... 1.12 eV per atom
Space group ... P4/mmm, No. 123
Calculated total energy ... -186.65 eV/f.u.

```
GaReTeRh2
1.0
4.467 0.000 0.000
0.000 4.467 0.000
0.000 0.000 4.616
Re Te Rh Ga
1 1 2 1
direct
0.000 0.000 0.500
0.500 0.500 0.500
0.000 0.500 0.000
0.500 0.000 0.000
0.000 0.000 0.000
```

First-principles (meta-GGA SCAN) data for a PBEsol-optimized structure of Ga2ReRhW, as listed in Alexandria via LeMat-Bulk.

Properties
Volume ... 20.30 A^3/atom
Space group ... P4/mmm, No. 123
Formation energy ... 8.925 eV per formula unit
Calculated total energy ... -198.33 eV/f.u.

```
Ga2ReRhW
1.0
-0.564 -0.562 -4.541
2.472 -3.984 0.186
-3.946 -2.412 0.788
Re Rh Ga W
1 1 2 1
direct
0.500 0.500 0.500
0.500 0.000 0.000
0.000 0.000 0.500
0.000 0.500 0.000
0.000 0.000 0.000
```

First-principles (meta-GGA SCAN) data for a PBEsol-optimized structure of TlGaRe2Ru, as listed in Alexandria via LeMat-Bulk.

Properties
Volume ... 23.12 A^3/atom
Space group ... P4/mmm, No. 123
Formation energy ... 15.565 eV per formula unit
Calculated total energy ... -250.16 eV/f.u.

```
TlGaRe2Ru
1.0
-3.307 1.339 -3.233
-3.230 -3.076 2.030
-1.501 3.563 3.011
Re Tl Ga Ru
2 1 1 1
direct
0.000 0.000 0.500
0.000 0.500 0.000
0.000 0.000 0.000
0.500 0.500 0.500
0.500 0.000 0.000
```

First-principles (meta-GGA SCAN) data for a PBEsol-optimized structure of GaRe2SiS, as listed in Alexandria via LeMat-Bulk.

Properties
Volume ... 17.57 A^3/atom
Uncorrected formation energy ... 1.62 eV per atom
Space group ... P4/mmm, No. 123
Calculated total energy ... -170.10 eV/f.u.

```
GaRe2SiS
1.0
-3.193 2.923 0.596
-1.401 -2.266 3.605
2.721 2.443 2.593
Re S Si Ga
2 1 1 1
direct
0.000 0.000 0.500
0.000 0.500 0.000
0.500 0.500 0.500
0.000 0.000 0.000
0.500 0.000 0.000
```

First-principles (meta-GGA SCAN) data for a PBEsol-optimized structure of GaReSe2, as listed in Alexandria via LeMat-Bulk.

Properties
Volume ... 19.50 A^3/atom
Uncorrected formation energy ... 0.15 eV per atom
Space group ... R-3m, No. 166
Calculated total energy ... -127.00 eV/f.u.

```
GaReSe2
1.0
-0.659 -0.362 3.000
-1.024 -2.727 1.040
8.308 -3.739 2.969
Re Ga Se
1 1 2
direct
0.500 0.500 0.500
0.000 0.000 0.000
0.897 0.897 0.309
0.103 0.103 0.691
```

First-principles (meta-GGA SCAN) data for a PBEsol-optimized structure of GaReSn3, as listed in Alexandria via LeMat-Bulk.

Properties
Volume ... 26.11 A^3/atom
Space group ... Pm-3m, No. 221
Formation energy ... 7.862 eV per formula unit
Calculated total energy ... -187.34 eV/f.u.

```
GaReSn3
1.0
-1.220 2.966 3.931
-2.290 -3.927 2.252
4.359 -1.233 2.283
Re Sn Ga
1 3 1
direct
0.500 0.500 0.500
0.000 0.500 0.000
0.000 0.000 0.500
0.500 0.000 0.000
0.000 0.000 0.000
```

First-principles (meta-GGA SCAN) data for a PBEsol-optimized structure of SrGa3Re, as listed in Alexandria via LeMat-Bulk.

Properties
Volume ... 22.50 A^3/atom
Space group ... Pm-3m, No. 221
Formation energy ... -1.946 eV per formula unit
Calculated total energy ... -144.36 eV/f.u.

```
SrGa3Re
1.0
4.827 0.000 0.000
0.000 4.827 0.000
0.000 0.000 4.827
Re Ga Sr
1 3 1
direct
0.000 0.000 0.000
0.000 0.500 0.000
0.000 0.000 0.500
0.500 0.000 0.000
0.500 0.500 0.500
```

First-principles (meta-GGA SCAN) data for a PBEsol-optimized structure of Ti2Ga2Re, as listed in Alexandria via LeMat-Bulk.

Properties
Volume ... 14.81 A^3/atom
Space group ... P4/mbm, No. 127
Formation energy ... -2.655 eV per formula unit
Calculated total energy ... -138.51 eV/f.u.

```
Ti2Ga2Re
1.0
-0.183 -2.575 2.166
6.458 0.668 1.339
-1.453 4.224 4.898
Re Ga Ti
2 4 4
direct
0.000 0.000 0.000
0.000 0.500 0.500
0.000 0.371 0.871
0.000 0.871 0.629
0.000 0.629 0.129
0.000 0.129 0.371
0.500 0.175 0.675
0.500 0.675 0.825
0.500 0.825 0.325
0.500 0.325 0.175
```

First-principles (meta-GGA SCAN) data for a PBEsol-optimized structure of TlGa3Re, as listed in Alexandria via LeMat-Bulk.

Properties
Volume ... 26.29 A^3/atom
Space group ... Pm-3m, No. 221
Formation energy ... 9.163 eV per formula unit
Calculated total energy ... -183.33 eV/f.u.

```
TlGa3Re
1.0
-4.393 2.276 1.172
-2.079 -1.813 -4.271
-1.494 -4.170 2.497
Re Tl Ga
1 1 3
direct
0.500 0.500 0.500
0.000 0.000 0.000
0.000 0.500 0.000
0.000 0.000 0.500
0.500 0.000 0.000
```

First-principles (meta-GGA SCAN) data for a PBEsol-optimized structure of GaRe2W2, as listed in Alexandria via LeMat-Bulk.

Properties
Volume ... 18.37 A^3/atom
Space group ... I4/mmm, No. 139
Formation energy ... 3.599 eV per formula unit
Calculated total energy ... -294.32 eV/f.u.

```
GaRe2W2
1.0
-2.933 1.710 2.067
-2.331 -3.140 -0.710
4.573 -1.824 4.177
Re Ga W
2 1 2
direct
0.250 0.750 0.500
0.750 0.250 0.500
0.000 0.000 0.000
0.384 0.384 0.769
0.616 0.616 0.231
```

First-principles (meta-GGA SCAN) data for a PBEsol-optimized structure of Zr2Ga2Re, as listed in Alexandria via LeMat-Bulk.

Properties
Volume ... 17.07 A^3/atom
Space group ... P4/mbm, No. 127
Formation energy ... -3.111 eV per formula unit
Calculated total energy ... -168.30 eV/f.u.

```
Zr2Ga2Re
1.0
-2.130 2.164 -2.083
1.668 -3.651 -5.499
-5.297 -4.125 1.132
Re Ga Zr
2 4 4
direct
0.000 0.000 0.000
0.000 0.500 0.500
0.000 0.372 0.872
0.000 0.872 0.628
0.000 0.628 0.128
0.000 0.128 0.372
0.500 0.177 0.677
0.500 0.677 0.823
0.500 0.823 0.323
0.500 0.323 0.177
```

First-principles (meta-GGA SCAN) data for a PBEsol-optimized structure of Ga5Rh3, as listed in Alexandria via LeMat-Bulk.

Properties
Volume ... 14.69 A^3/atom
Space group ... P-1, No. 2
Formation energy ... -5.333 eV per formula unit
Calculated total energy ... -188.38 eV/f.u.

```
Ga5Rh3
1.0
4.935 0.023 0.013
-1.276 6.477 0.009
-1.984 -1.917 7.340
Ga Rh
10 6
direct
0.776 0.543 0.540
0.224 0.457 0.460
0.916 0.177 0.051
0.084 0.823 0.949
0.550 0.144 0.274
0.450 0.856 0.726
0.688 0.473 0.873
0.312 0.527 0.127
0.043 0.906 0.347
0.957 0.094 0.653
0.841 0.514 0.224
0.159 0.486 0.776
0.634 0.827 0.051
0.366 0.173 0.949
0.546 0.806 0.420
0.454 0.194 0.580
```

First-principles (meta-GGA SCAN) data for a PBEsol-optimized structure of GaRh3, as listed in Alexandria via LeMat-Bulk.

Properties
Volume ... 13.46 A^3/atom
Space group ... I4/mmm, No. 139
Formation energy ... -1.396 eV per formula unit
Calculated total energy ... -119.06 eV/f.u.

```
GaRh3
1.0
-0.668 -1.583 3.410
3.717 0.240 0.840
-2.068 4.025 -0.674
Rh Ga
3 1
direct
0.000 0.000 0.000
0.750 0.250 0.500
0.250 0.750 0.500
0.500 0.500 0.000
```

The following density values (in g/cm3) correspond, in order, to the records above: 4.5, 4.4, 3.3, 2.8, 2.8, 2.5, 4.6, 4.1, 2.7, 3.0, 4.7, 9.0, 12.4, 9.9, 10.6, 10.0, 10.7, 9.5, 8.8, 7.8, 7.1, 9.4, 7.6, 14.6, 9.9, 9.3, 11.7.